# 1
Entry from Alexandria via LeMat-Bulk: an optimized crystal structure of GeBiN2F (PBEsol).

Unit cell a=4.2912 b=4.2912 c=4.2874 alpha=90.00 beta=90.00 gamma=90.00
Closest atoms and distances in Å follow each position.
Sites, in units of the cell vectors:
Ge1 0.0000 0.0000 0.0000  8 N 3.03, 4 F 3.03
Bi1 0.5000 0.5000 0.5000  2 F 2.14, 4 N 2.15
N1 0.0000 0.5000 0.5000  2 Bi 2.15
N2 0.5000 0.0000 0.5000  2 Bi 2.15
F1 0.5000 0.5000 0.0000  2 Bi 2.14

Space group ... No. 123
Raw formation energy ... 681 meV/atom
Magnetization ... 0.00 μB per formula unit
Fermi-level density of states ... 0.207 states/eV per atom

***

# 2
Entry from Alexandria via LeMat-Bulk: an optimized crystal structure of CaRe2HAu (PBEsol).

Unit cell a=4.8928 b=4.8928 c=5.5702 alpha=90.00 beta=90.00 gamma=90.00
Closest atoms and distances in Å follow each position.
Sites, in units of the cell vectors:
Ca1 0.0000 0.0000 0.0000  2 Au 2.79
Re1 0.0000 0.5000 0.5000  2 Au 2.45
Re2 0.5000 0.0000 0.5000  2 Au 2.45
H1 0.5000 0.5000 0.0000  4 Ca 3.46, 8 Re 3.71
Au1 0.0000 0.0000 0.5000  4 Re 2.45

Space group ... No. 123
Total energy ... -4.81 eV/atom
Magnetization ... 5.36 μB per formula unit
Fermi-level density of states ... 1.242 states/eV per atom

***

# 3
Entry from Alexandria via LeMat-Bulk: an optimized crystal structure of ZnTc2Sb (PBEsol).

Unit cell a=8.2381 b=8.2381 c=8.2381 alpha=21.10 beta=21.10 gamma=21.10
Closest atoms and distances in Å follow each position.
Sites, in units of the cell vectors:
Zn1 0.0000 0.0000 0.0000  6 Tc 2.64
Tc1 0.2510 0.2510 0.2510  3 Zn 2.64, 3 Sb 2.68
Tc2 0.7490 0.7490 0.7490  3 Zn 2.64, 3 Sb 2.68
Sb1 0.5000 0.5000 0.5000  6 Tc 2.68

Space group ... No. 166
Raw formation energy ... 380 meV/atom
Magnetization ... 0.00 μB per formula unit
Fermi-level density of states ... 1.018 states/eV per atom

***

# 4
Entry from Alexandria via LeMat-Bulk: an optimized crystal structure of CaMg2Zr (PBEsol).

Unit cell a=3.3745 b=3.3745 c=8.7831 alpha=90.00 beta=90.00 gamma=90.00
Closest atoms and distances in Å follow each position.
Sites, in units of the cell vectors:
Ca1 0.0000 0.0000 0.0000  4 Ca 3.37, 8 Mg 3.40
Mg1 0.5000 0.5000 0.2763  4 Zr 3.09, 4 Mg 3.37, 4 Ca 3.40
Mg2 0.5000 0.5000 0.7237  4 Zr 3.09, 4 Mg 3.37, 4 Ca 3.40
Zr1 0.0000 0.0000 0.5000  8 Mg 3.09, 4 Zr 3.37

Space group ... No. 123
Total energy ... -3.61 eV/atom
Magnetization ... 0.00 μB per formula unit
Fermi-level density of states ... 0.731 states/eV per atom

***

# 5
Entry from Alexandria via LeMat-Bulk: an optimized crystal structure of BaTl2Cl (PBEsol).

Unit cell a=4.3582 b=4.3582 c=6.8374 alpha=90.00 beta=90.00 gamma=90.00
Closest atoms and distances in Å follow each position.
Sites, in units of the cell vectors:
Ba1 0.0000 0.0000 0.0000  4 Cl 3.08
Tl1 0.0000 0.5000 0.5000  4 Tl 3.08
Tl2 0.5000 0.0000 0.5000  4 Tl 3.08
Cl1 0.5000 0.5000 0.0000  4 Ba 3.08

Space group ... No. 123
Raw formation energy ... -847 meV/atom
Magnetization ... 0.00 μB per formula unit
Fermi-level density of states ... 0.762 states/eV per atom

***

# 6
Entry from Alexandria via LeMat-Bulk: an optimized crystal structure of TcSb3Ir (PBEsol).

Unit cell a=5.0623 b=5.0623 c=5.0623 alpha=90.00 beta=90.00 gamma=90.00
Closest atoms and distances in Å follow each position.
Sites, in units of the cell vectors:
Tc1 0.0000 0.0000 0.0000  12 Sb 3.58
Sb1 0.0000 0.5000 0.5000  2 Ir 2.53
Sb2 0.5000 0.0000 0.5000  2 Ir 2.53
Sb3 0.5000 0.5000 0.0000  2 Ir 2.53
Ir1 0.5000 0.5000 0.5000  6 Sb 2.53

Space group ... No. 221
Raw formation energy ... 1228 meV/atom
Magnetization ... 2.42 μB per formula unit
Fermi-level density of states ... 0.724 states/eV per atom

***

# 7
Entry from Alexandria via LeMat-Bulk: an optimized crystal structure of TeAsWBr2 (PBEsol).

Unit cell a=5.3413 b=5.3413 c=5.4897 alpha=90.00 beta=90.00 gamma=90.00
Closest atoms and distances in Å follow each position.
Sites, in units of the cell vectors:
Te1 0.0000 0.0000 0.0000  4 Br 2.67, 2 As 2.74
As1 0.0000 0.0000 0.5000  2 Te 2.74
W1 0.5000 0.5000 0.5000  4 As 3.78, 8 Br 3.83
Br1 0.0000 0.5000 0.0000  2 Te 2.67
Br2 0.5000 0.0000 0.0000  2 Te 2.67

Space group ... No. 123
Raw formation energy ... 1653 meV/atom
Magnetization ... 4.13 μB per formula unit
Fermi-level density of states ... 1.316 states/eV per atom

***

# 8
Entry from Alexandria via LeMat-Bulk: an optimized crystal structure of NbAgAs3 (PBEsol).

Unit cell a=4.8181 b=4.8181 c=4.8181 alpha=90.00 beta=90.00 gamma=90.00
Closest atoms and distances in Å follow each position.
Sites, in units of the cell vectors:
Nb1 0.0000 0.0000 0.0000  12 As 3.41
Ag1 0.5000 0.5000 0.5000  6 As 2.41
As1 0.0000 0.5000 0.5000  2 Ag 2.41
As2 0.5000 0.0000 0.5000  2 Ag 2.41
As3 0.5000 0.5000 0.0000  2 Ag 2.41

Space group ... No. 221
Total energy ... -4.73 eV/atom
Magnetization ... 1.86 μB per formula unit
Fermi-level density of states ... 1.136 states/eV per atom